Here is a relaxed PmDy2Cu2 crystal from the Alexandria database. Energies are from PBE.

Total DFT energy (no corrections) (eV per atom): -4.572
E_form (kJ per mole of atoms): -14
Total moment (μB/f.u.): 0.0
V (Å³ per cell): 237
Relative energy among the computed polymorphs (meV per atom): 0.0

The structure in POSCAR format:
```
PmDy2Cu2
1.0
3.5384 0.0000 0.0000
0.0000 5.1334 0.0000
-1.7683 0.0000 13.0357
Pm Dy Cu
2 4 4
Direct
0.1410 0.2500 0.2826
0.8590 0.7500 0.7174
0.0467 0.7500 0.0934
0.2307 0.7500 0.4609
0.7693 0.2500 0.5391
0.9533 0.2500 0.9066
0.3595 0.2500 0.7186
0.4569 0.7500 0.9133
0.5431 0.2500 0.0867
0.6405 0.7500 0.2814
```

Here is a relaxed LiTcIrRh2 crystal from the Alexandria database. Energies are from PBE.

Total DFT energy (no corrections) (eV per atom): -5.697
E_form (kJ per mole of atoms): 142
Total moment (μB/f.u.): 0.0
V (Å³ per cell): 89

The structure in POSCAR format:
```
LiTcIrRh2
1.0
4.5612 0.0000 0.0000
0.0000 4.5612 0.0000
0.0000 0.0000 4.2708
Li Tc Ir Rh
1 1 1 2
Direct
0.0000 0.0000 0.0000
0.0000 0.0000 0.5000
0.5000 0.5000 0.0000
0.0000 0.5000 0.5000
0.5000 0.0000 0.5000
```